Record 1
# Sc6Al2Ga, optimized geometry, DFT PBE
# - size of the total moment (μB per formula unit) = 0.0
# - D(E_F) (states/eV/cell) = 15.690
# - energy of formation from the pure elements (eV per atom) = -0.3490
data_Sc6Al2Ga
_chemical_formula_sum 'Sc12 Al4 Ga2'
_cell_length_a 9.113
_cell_length_b 9.113
_cell_length_c 4.602
_cell_angle_alpha 90.00
_cell_angle_beta 90.00
_cell_angle_gamma 90.00
_symmetry_space_group_name_H-M 'P 42/m n m'
_symmetry_Int_Tables_number 136
_symmetry_space_group_name_Hall '-P 4n 2n'
loop_
_atom_site_label
_atom_site_fract_x
_atom_site_fract_y
_atom_site_fract_z
Sc1 0.022 0.314 0.000
Sc2 0.129 0.871 0.500
Al1 0.200 0.200 0.500
Ga1 0.000 0.000 0.000

Record 2
# Sc3AlGa3, optimized geometry, DFT PBE
# - ΔE to the lowest computed polymorph (eV per atom) = 0.0000
# - size of the total moment (μB per formula unit) = 0.0
# - D(E_F) (states/eV/cell) = 23.331
# - energy of formation from the pure elements (eV per atom) = -0.5655
data_Sc3AlGa3
_chemical_formula_sum 'Sc12 Al4 Ga12'
_cell_length_a 10.356
_cell_length_b 4.161
_cell_length_c 13.341
_cell_angle_alpha 90.00
_cell_angle_beta 109.21
_cell_angle_gamma 90.00
_symmetry_space_group_name_H-M 'C 1 2/m 1'
_symmetry_Int_Tables_number 12
_symmetry_space_group_name_Hall '-C 2y'
loop_
_atom_site_label
_atom_site_fract_x
_atom_site_fract_y
_atom_site_fract_z
Sc1 0.018 0.000 0.375
Sc2 0.106 0.000 0.924
Sc3 0.233 0.000 0.221
Al1 0.233 0.500 0.388
Ga1 0.014 0.500 0.226
Ga2 0.116 0.500 0.074
Ga3 0.128 0.500 0.549

Record 3
# Sc6AlGa, optimized geometry, DFT PBE
# - ΔE to the lowest computed polymorph (eV per atom) = 0.0000
# - size of the total moment (μB per formula unit) = 2.2
# - D(E_F) (states/eV/cell) = 10.565
# - energy of formation from the pure elements (eV per atom) = -0.2829
data_Sc6AlGa
_chemical_formula_sum 'Sc6 Al1 Ga1'
_cell_length_a 4.404
_cell_length_b 4.404
_cell_length_c 8.816
_cell_angle_alpha 90.00
_cell_angle_beta 90.00
_cell_angle_gamma 90.00
_symmetry_space_group_name_H-M 'P 4/m m m'
_symmetry_Int_Tables_number 123
_symmetry_space_group_name_Hall '-P 4 2'
loop_
_atom_site_label
_atom_site_fract_x
_atom_site_fract_y
_atom_site_fract_z
Sc1 0.000 0.000 0.000
Sc2 0.000 0.000 0.500
Sc3 0.000 0.500 0.248
Al1 0.500 0.500 0.500
Ga1 0.500 0.500 0.000

Record 4
# Sc2Al3Ga4, optimized geometry, DFT PBE
# - size of the total moment (μB per formula unit) = 0.0
# - D(E_F) (states/eV/cell) = 15.109
# - energy of formation from the pure elements (eV per atom) = -0.3303
data_Sc2Al3Ga4
_chemical_formula_sum 'Sc8 Al12 Ga16'
_cell_length_a 5.629
_cell_length_b 14.958
_cell_length_c 7.687
_cell_angle_alpha 90.00
_cell_angle_beta 90.00
_cell_angle_gamma 90.00
_symmetry_space_group_name_H-M 'C m c e'
_symmetry_Int_Tables_number 64
_symmetry_space_group_name_Hall '-C 2ac 2'
loop_
_atom_site_label
_atom_site_fract_x
_atom_site_fract_y
_atom_site_fract_z
Sc1 0.000 0.111 0.085
Al1 0.000 0.000 0.500
Al2 0.250 0.223 0.750
Ga1 0.000 0.177 0.460
Ga2 0.250 0.051 0.750

Record 5
# Sc3AlGa4, optimized geometry, DFT PBE
# - size of the total moment (μB per formula unit) = 0.0
# - D(E_F) (states/eV/cell) = 12.587
# - energy of formation from the pure elements (eV per atom) = -0.3675
data_Sc3AlGa4
_chemical_formula_sum 'Sc6 Al2 Ga8'
_cell_length_a 3.072
_cell_length_b 5.732
_cell_length_c 17.615
_cell_angle_alpha 90.00
_cell_angle_beta 90.00
_cell_angle_gamma 90.00
_symmetry_space_group_name_H-M 'I m m m'
_symmetry_Int_Tables_number 71
_symmetry_space_group_name_Hall '-I 2 2'
loop_
_atom_site_label
_atom_site_fract_x
_atom_site_fract_y
_atom_site_fract_z
Sc1 0.000 0.000 0.000
Sc2 0.000 0.500 0.233
Al1 0.000 0.000 0.500
Ga1 0.000 0.263 0.376

Record 6
# Sc2AlGa4, optimized geometry, DFT PBE
# - ΔE to the lowest computed polymorph (eV per atom) = 0.4837
# - size of the total moment (μB per formula unit) = 0.0
# - D(E_F) (states/eV/cell) = 8.928
# - energy of formation from the pure elements (eV per atom) = 0.0717
data_Sc2AlGa4
_chemical_formula_sum 'Sc4 Al2 Ga8'
_cell_length_a 4.799
_cell_length_b 4.799
_cell_length_c 13.809
_cell_angle_alpha 90.00
_cell_angle_beta 90.00
_cell_angle_gamma 90.00
_symmetry_space_group_name_H-M 'I 4/m m m'
_symmetry_Int_Tables_number 139
_symmetry_space_group_name_Hall '-I 4 2'
loop_
_atom_site_label
_atom_site_fract_x
_atom_site_fract_y
_atom_site_fract_z
Sc1 0.000 0.000 0.118
Al1 0.000 0.000 0.500
Ga1 0.000 0.000 0.317
Ga2 0.000 0.500 0.000

Record 7
# Sc3Al2Ga4, optimized geometry, DFT PBE
# - size of the total moment (μB per formula unit) = 0.0
# - D(E_F) (states/eV/cell) = 9.747
# - energy of formation from the pure elements (eV per atom) = -0.5362
data_Sc3Al2Ga4
_chemical_formula_sum 'Sc6 Al4 Ga8'
_cell_length_a 9.990
_cell_length_b 4.386
_cell_length_c 8.238
_cell_angle_alpha 90.00
_cell_angle_beta 116.49
_cell_angle_gamma 90.00
_symmetry_space_group_name_H-M 'C 1 2/m 1'
_symmetry_Int_Tables_number 12
_symmetry_space_group_name_Hall '-C 2y'
loop_
_atom_site_label
_atom_site_fract_x
_atom_site_fract_y
_atom_site_fract_z
Sc1 0.000 0.000 0.000
Sc2 0.164 0.500 0.669
Al1 0.114 0.500 0.281
Ga1 0.067 0.000 0.400
Ga2 0.207 0.500 0.041

Record 8
# Sc5AlGa3, optimized geometry, DFT PBE
# - size of the total moment (μB per formula unit) = 0.0
# - D(E_F) (states/eV/cell) = 14.604
# - energy of formation from the pure elements (eV per atom) = -0.5261
data_Sc5AlGa3
_chemical_formula_sum 'Sc10 Al2 Ga6'
_cell_length_a 8.3084
_cell_length_b 8.3084
_cell_length_c 5.9874
_cell_angle_alpha 90.00
_cell_angle_beta 90.00
_cell_angle_gamma 120.00
_symmetry_space_group_name_H-M 'P 63/m c m'
_symmetry_Int_Tables_number 193
_symmetry_space_group_name_Hall '-P 6c 2'
loop_
_atom_site_label
_atom_site_fract_x
_atom_site_fract_y
_atom_site_fract_z
Sc1 0.0000 0.2913 0.2500
Sc2 0.3333 0.6667 0.0000
Al1 0.0000 0.0000 0.0000
Ga1 0.0000 0.3691 0.7500

Record 9
# Sc3Al2Ga, optimized geometry, DFT PBE
# - size of the total moment (μB per formula unit) = 0.0
# - D(E_F) (states/eV/cell) = 3.164
# - energy of formation from the pure elements (eV per atom) = -0.4919
data_Sc3Al2Ga
_chemical_formula_sum 'Sc3 Al2 Ga1'
_cell_length_a 3.362
_cell_length_b 3.362
_cell_length_c 10.155
_cell_angle_alpha 90.00
_cell_angle_beta 90.00
_cell_angle_gamma 90.00
_symmetry_space_group_name_H-M 'P 4/m m m'
_symmetry_Int_Tables_number 123
_symmetry_space_group_name_Hall '-P 4 2'
loop_
_atom_site_label
_atom_site_fract_x
_atom_site_fract_y
_atom_site_fract_z
Sc1 0.000 0.000 0.000
Sc2 0.000 0.000 0.336
Al1 0.500 0.500 0.167
Ga1 0.500 0.500 0.500

Record 10
# Sc4Al7Ga6, optimized geometry, DFT PBE
# - size of the total moment (μB per formula unit) = 0.0
# - D(E_F) (states/eV/cell) = 18.369
# - energy of formation from the pure elements (eV per atom) = -0.3746
data_Sc4Al7Ga6
_chemical_formula_sum 'Sc8 Al14 Ga12'
_cell_length_a 8.453
_cell_length_b 8.453
_cell_length_c 8.453
_cell_angle_alpha 90.00
_cell_angle_beta 90.00
_cell_angle_gamma 90.00
_symmetry_space_group_name_H-M 'I m -3 m'
_symmetry_Int_Tables_number 229
_symmetry_space_group_name_Hall '-I 4 2 3'
loop_
_atom_site_label
_atom_site_fract_x
_atom_site_fract_y
_atom_site_fract_z
Sc1 0.250 0.250 0.250
Al1 0.000 0.000 0.000
Al2 0.000 0.250 0.500
Ga1 0.000 0.000 0.305

Record 11
# Sc4Al2Ga, optimized geometry, DFT PBE
# - ΔE to the lowest computed polymorph (eV per atom) = 0.3274
# - size of the total moment (μB per formula unit) = 0.0
# - D(E_F) (states/eV/cell) = 14.064
# - energy of formation from the pure elements (eV per atom) = 0.0315
data_Sc4Al2Ga
_chemical_formula_sum 'Sc8 Al4 Ga2'
_cell_length_a 5.022
_cell_length_b 5.022
_cell_length_c 13.791
_cell_angle_alpha 90.00
_cell_angle_beta 90.00
_cell_angle_gamma 90.00
_symmetry_space_group_name_H-M 'I 4/m m m'
_symmetry_Int_Tables_number 139
_symmetry_space_group_name_Hall '-I 4 2'
loop_
_atom_site_label
_atom_site_fract_x
_atom_site_fract_y
_atom_site_fract_z
Sc1 0.000 0.000 0.188
Sc2 0.000 0.500 0.000
Al1 0.000 0.000 0.390
Ga1 0.000 0.000 0.000

Record 12
# Sc3AlGa3, optimized geometry, DFT PBE
# - ΔE to the lowest computed polymorph (eV per atom) = 0.1205
# - size of the total moment (μB per formula unit) = 0.0
# - D(E_F) (states/eV/cell) = 9.399
# - energy of formation from the pure elements (eV per atom) = -0.4449
data_Sc3AlGa3
_chemical_formula_sum 'Sc6 Al2 Ga6'
_cell_length_a 8.0075
_cell_length_b 8.0075
_cell_length_c 4.7975
_cell_angle_alpha 90.00
_cell_angle_beta 90.00
_cell_angle_gamma 120.00
_symmetry_space_group_name_H-M 'P 63/m'
_symmetry_Int_Tables_number 176
_symmetry_space_group_name_Hall '-P 6c'
loop_
_atom_site_label
_atom_site_fract_x
_atom_site_fract_y
_atom_site_fract_z
Sc1 0.0987 0.6486 0.2500
Al1 0.3333 0.6667 0.7500
Ga1 0.0479 0.8166 0.7500

Record 13
# Sc5Al2Ga2, optimized geometry, DFT PBE
# - size of the total moment (μB per formula unit) = 0.0
# - D(E_F) (states/eV/cell) = 31.484
# - energy of formation from the pure elements (eV per atom) = -0.4046
data_Sc5Al2Ga2
_chemical_formula_sum 'Sc20 Al8 Ga8'
_cell_length_a 14.353
_cell_length_b 7.439
_cell_length_c 7.181
_cell_angle_alpha 90.00
_cell_angle_beta 90.00
_cell_angle_gamma 90.00
_symmetry_space_group_name_H-M 'C m c e'
_symmetry_Int_Tables_number 64
_symmetry_space_group_name_Hall '-C 2ac 2'
loop_
_atom_site_label
_atom_site_fract_x
_atom_site_fract_y
_atom_site_fract_z
Sc1 0.000 0.000 0.000
Sc2 0.141 0.182 0.326
Al1 0.000 0.123 0.624
Ga1 0.207 0.000 0.000

Record 14
# ScAl2Ga, optimized geometry, DFT PBE
# - size of the total moment (μB per formula unit) = 0.0
# - D(E_F) (states/eV/cell) = 9.939
# - energy of formation from the pure elements (eV per atom) = 0.2333
data_ScAl2Ga
_chemical_formula_sum 'Sc3 Al6 Ga3'
_cell_length_a 3.0330
_cell_length_b 3.0330
_cell_length_c 30.3487
_cell_angle_alpha 90.00
_cell_angle_beta 90.00
_cell_angle_gamma 120.00
_symmetry_space_group_name_H-M 'R -3 m'
_symmetry_Int_Tables_number 166
_symmetry_space_group_name_Hall '-R 3 2"'
loop_
_atom_site_label
_atom_site_fract_x
_atom_site_fract_y
_atom_site_fract_z
Sc1 0.0000 0.0000 0.0000
Al1 0.0000 0.0000 0.0944
Ga1 0.0000 0.0000 0.5000

Record 15
# ScAl3Ga, optimized geometry, DFT PBE
# - ΔE to the lowest computed polymorph (eV per atom) = 0.0000
# - size of the total moment (μB per formula unit) = 0.0
# - D(E_F) (states/eV/cell) = 12.444
# - energy of formation from the pure elements (eV per atom) = 0.1314
data_ScAl3Ga
_chemical_formula_sum 'Sc4 Al12 Ga4'
_cell_length_a 5.269
_cell_length_b 5.269
_cell_length_c 17.617
_cell_angle_alpha 90.00
_cell_angle_beta 90.00
_cell_angle_gamma 90.00
_symmetry_space_group_name_H-M 'I -4 m 2'
_symmetry_Int_Tables_number 119
_symmetry_space_group_name_Hall 'I -4 -2'
loop_
_atom_site_label
_atom_site_fract_x
_atom_site_fract_y
_atom_site_fract_z
Sc1 0.000 0.000 0.218
Al1 0.000 0.249 0.626
Al2 0.000 0.500 0.159
Ga1 0.000 0.000 0.500
Ga2 0.000 0.500 0.750

Record 16
# Sc7Al2Ga2, optimized geometry, DFT PBE
# - size of the total moment (μB per formula unit) = 0.0
# - D(E_F) (states/eV/cell) = 20.122
# - energy of formation from the pure elements (eV per atom) = -0.1495
data_Sc7Al2Ga2
_chemical_formula_sum 'Sc14 Al4 Ga4'
_cell_length_a 7.265
_cell_length_b 10.214
_cell_length_c 6.881
_cell_angle_alpha 90.00
_cell_angle_beta 90.00
_cell_angle_gamma 90.00
_symmetry_space_group_name_H-M 'C m m m'
_symmetry_Int_Tables_number 65
_symmetry_space_group_name_Hall '-C 2 2'
loop_
_atom_site_label
_atom_site_fract_x
_atom_site_fract_y
_atom_site_fract_z
Sc1 0.000 0.000 0.000
Sc2 0.000 0.500 0.262
Sc3 0.250 0.250 0.282
Al1 0.175 0.000 0.500
Ga1 0.000 0.291 0.000

Record 17
# Sc12Al2Ga5, optimized geometry, DFT PBE
# - size of the total moment (μB per formula unit) = 1.3
# - D(E_F) (states/eV/cell) = 52.911
# - energy of formation from the pure elements (eV per atom) = -0.3290
data_Sc12Al2Ga5
_chemical_formula_sum 'Sc24 Al4 Ga10'
_cell_length_a 11.488
_cell_length_b 9.646
_cell_length_c 7.567
_cell_angle_alpha 90.00
_cell_angle_beta 105.63
_cell_angle_gamma 90.00
_symmetry_space_group_name_H-M 'C 1 2/m 1'
_symmetry_Int_Tables_number 12
_symmetry_space_group_name_Hall '-C 2y'
loop_
_atom_site_label
_atom_site_fract_x
_atom_site_fract_y
_atom_site_fract_z
Sc1 0.098 0.000 0.165
Sc2 0.107 0.271 0.404
Sc3 0.112 0.500 0.747
Sc4 0.171 0.163 0.822
Al1 0.000 0.279 0.000
Ga1 0.000 0.000 0.500
Ga2 0.118 0.500 0.145
Ga3 0.235 0.000 0.529

Record 18
# Sc6AlGa, optimized geometry, DFT PBE
# - ΔE to the lowest computed polymorph (eV per atom) = 0.0509
# - size of the total moment (μB per formula unit) = 0.9
# - D(E_F) (states/eV/cell) = 9.542
# - energy of formation from the pure elements (eV per atom) = -0.2320
data_Sc6AlGa
_chemical_formula_sum 'Sc6 Al1 Ga1'
_cell_length_a 5.557
_cell_length_b 5.560
_cell_length_c 5.562
_cell_angle_alpha 90.00
_cell_angle_beta 90.05
_cell_angle_gamma 90.00
_symmetry_space_group_name_H-M 'P 1 2/m 1'
_symmetry_Int_Tables_number 10
_symmetry_space_group_name_Hall '-P 2y'
loop_
_atom_site_label
_atom_site_fract_x
_atom_site_fract_y
_atom_site_fract_z
Sc1 0.000 0.000 0.249
Sc2 0.249 0.500 0.499
Sc3 0.500 0.251 0.000
Al1 0.500 0.000 0.500
Ga1 0.000 0.500 0.000

Record 19
# ScAlGa3, optimized geometry, DFT PBE
# - ΔE to the lowest computed polymorph (eV per atom) = 0.0000
# - size of the total moment (μB per formula unit) = 0.0
# - D(E_F) (states/eV/cell) = 3.526
# - energy of formation from the pure elements (eV per atom) = -0.1708
data_ScAlGa3
_chemical_formula_sum 'Sc2 Al2 Ga6'
_cell_length_a 5.460
_cell_length_b 5.672
_cell_length_c 6.315
_cell_angle_alpha 90.00
_cell_angle_beta 98.93
_cell_angle_gamma 90.00
_symmetry_space_group_name_H-M 'P 1 21/m 1'
_symmetry_Int_Tables_number 11
_symmetry_space_group_name_Hall '-P 2yb'
loop_
_atom_site_label
_atom_site_fract_x
_atom_site_fract_y
_atom_site_fract_z
Sc1 0.181 0.250 0.474
Al1 0.303 0.750 0.217
Ga1 0.188 0.027 0.887
Ga2 0.346 0.750 0.620

Record 20
# Sc8Al2Ga, optimized geometry, DFT PBE
# - ΔE to the lowest computed polymorph (eV per atom) = 0.0000
# - size of the total moment (μB per formula unit) = 1.5
# - D(E_F) (states/eV/cell) = 26.071
# - energy of formation from the pure elements (eV per atom) = -0.2392
data_Sc8Al2Ga
_chemical_formula_sum 'Sc16 Al4 Ga2'
_cell_length_a 4.670
_cell_length_b 7.622
_cell_length_c 13.525
_cell_angle_alpha 90.00
_cell_angle_beta 90.00
_cell_angle_gamma 90.00
_symmetry_space_group_name_H-M 'I m m m'
_symmetry_Int_Tables_number 71
_symmetry_space_group_name_Hall '-I 2 2'
loop_
_atom_site_label
_atom_site_fract_x
_atom_site_fract_y
_atom_site_fract_z
Sc1 0.000 0.000 0.144
Sc2 0.000 0.216 0.343
Sc3 0.000 0.310 0.000
Al1 0.000 0.500 0.193
Ga1 0.000 0.500 0.500